No. 1
First-principles (PBE) data for Li7TbSn4 after structural relaxation, as listed in Alexandria via LeMat-Bulk.

Output
* formation energy: -0.24 eV per atom
* raw total energy: -3.075 eV/atom

abc: 6.874 6.874 10.006
angles: 122.82 122.82 42.58
Sites, in units of the cell vectors:
Li  0.000  0.000  0.000
Li  0.162  0.162  0.592
Li  0.286  0.286  0.125
Li  0.424  0.424  0.626
Li  0.576  0.576  0.374
Li  0.714  0.714  0.875
Li  0.838  0.838  0.408
Tb  0.500  0.500  0.000
Sn  0.073  0.073  0.797
Sn  0.190  0.190  0.311
Sn  0.810  0.810  0.689
Sn  0.927  0.927  0.203



No. 2
First-principles (PBE) data for CoP2Pt after structural relaxation, as listed in Alexandria via LeMat-Bulk.

Output
* formation energy: 0.22 eV per atom
* excess energy over the best structure of this formula in the dataset: 616 meV/atom
* raw total energy: -5.774 eV/atom

abc: 4.934 4.934 4.934
angles: 147.64 121.70 68.28
Sites, in units of the cell vectors:
Co  0.000  0.000  0.000
P  0.223  0.723  0.500
P  0.777  0.277  0.500
Pt  0.500  0.500  0.000



No. 3
First-principles (PBE) data for Sm5ZnPd2 after structural relaxation, as listed in Alexandria via LeMat-Bulk.

Output
* formation energy: -0.30 eV per atom
* excess energy over the best structure of this formula in the dataset: 165 meV/atom
* raw total energy: -4.708 eV/atom

abc: 6.301 6.301 14.027
angles: 90.00 90.00 131.04
Sites, in units of the cell vectors:
Sm  0.049  0.951  0.608
Sm  0.049  0.951  0.892
Sm  0.351  0.649  0.537
Sm  0.351  0.649  0.963
Sm  0.409  0.591  0.250
Sm  0.591  0.409  0.750
Sm  0.649  0.351  0.037
Sm  0.649  0.351  0.463
Sm  0.951  0.049  0.108
Sm  0.951  0.049  0.392
Zn  0.267  0.733  0.750
Zn  0.733  0.267  0.250
Pd  0.197  0.803  0.140
Pd  0.197  0.803  0.360
Pd  0.803  0.197  0.640
Pd  0.803  0.197  0.860



Among the records above, which one has the lowest formation energy?
Sm5ZnPd2